--- w ---
Computed, not measured: crystalline SrLaCl at its relaxed geometry at the GGA-PBE level of DFT.

Cell: 7.7942 7.7942 7.7942 Å, 152.76 152.76 38.90°
Element x y z (fractional)
La (0.3560, 0.3560, 0.0000)
Sr (0.6457, 0.6457, 0.0000)
Cl (0.9983, 0.9983, 0.0000)

---

--- x ---
Computed, not measured: crystalline SrLaCl at its relaxed geometry at the GGA-PBE level of DFT.

Cell: 8.5203 8.1253 3.8519 Å, 82.42 70.96 26.62°
Element x y z (fractional)
Cl (0.0019, 0.0019, 0.9981)
Sr (0.6473, 0.6473, 0.3527)
La (0.3508, 0.3508, 0.6492)

---

Energy above the most stable structure, in meV/atom: w 100; x 0

---

--- w ---
Computed, not measured: crystalline La2TaCl at its relaxed geometry at the GGA-PBE level of DFT.

Cell: 3.6510 3.6510 9.7799 Å, 84.00 84.00 55.28°
Last column: magnetic moment on the atom in μB.
Element x y z (fractional)
La (0.9721, 0.9721, 0.0008)  0.08
La (0.5279, 0.5279, 0.4992)  0.08
Ta (0.7500, 0.7500, 0.7500)  0.47
Cl (0.2500, 0.2500, 0.2500)  0.01

---

--- x ---
Computed, not measured: crystalline La2TaCl at its relaxed geometry at the GGA-PBE level of DFT.

Cell: 3.2628 3.2628 11.4583 Å, 90.00 90.00 90.00°
Element x y z (fractional)
La (0.5000, 0.5000, 0.2733)
La (0.0000, 0.0000, 0.9597)
Ta (0.0000, 0.0000, 0.4672)
Cl (0.5000, 0.5000, 0.7998)

---

Energy above the most stable structure, in meV/atom: w 0; x 353

---

--- w ---
Computed, not measured: crystalline LaTa3Cl at its relaxed geometry at the GGA-PBE level of DFT.

Cell: 4.7373 4.7373 4.7373 Å, 90.00 90.00 90.00°
Element x y z (fractional)
Ta (0.5000, 0.0000, 0.0000)
Ta (0.0000, 0.0000, 0.5000)
Ta (0.0000, 0.5000, 0.0000)
Cl (0.0000, 0.0000, 0.0000)
La (0.5000, 0.5000, 0.5000)

---

--- x ---
Computed, not measured: crystalline LaTa3Cl at its relaxed geometry at the GGA-PBE level of DFT.

Cell: 5.0496 5.0496 5.0496 Å, 90.00 90.00 90.00°
Element x y z (fractional)
Ta (0.0000, 0.5000, 0.0000)
Ta (0.5000, 0.0000, 0.0000)
Ta (0.0000, 0.0000, 0.5000)
Cl (0.5000, 0.5000, 0.5000)
La (0.0000, 0.0000, 0.0000)

---

Energy above the most stable structure, in meV/atom: w 0; x 1721

---

--- w ---
Computed, not measured: crystalline LaTc2Cl at its relaxed geometry at the GGA-PBE level of DFT.

Cell: 4.8286 4.8286 8.6701 Å, 73.83 73.83 90.00°
Element x y z (fractional)
Tc (0.3750, 0.6121, 0.7500)
Tc (0.3621, 0.6250, 0.2500)
Tc (0.3879, 0.1250, 0.2500)
Tc (0.8750, 0.6379, 0.7500)
La (0.0000, 0.0000, 0.0000)
La (0.7500, 0.2500, 0.5000)
Cl (0.2500, 0.7500, 0.5000)
Cl (0.5000, 0.5000, 0.0000)

---

--- x ---
Computed, not measured: crystalline LaTc2Cl at its relaxed geometry at the GGA-PBE level of DFT.

Cell: 4.1040 4.1040 5.9666 Å, 90.00 90.00 90.00°
Element x y z (fractional)
Tc (0.0000, 0.0000, 0.9284)
Tc (0.0000, 0.0000, 0.5716)
La (0.5000, 0.5000, 0.7500)
Cl (0.5000, 0.5000, 0.2500)

---

Energy above the most stable structure, in meV/atom: w 0; x 77

---

--- w ---
Computed, not measured: crystalline LaTcCl at its relaxed geometry at the GGA-PBE level of DFT.

Cell: 4.4531 4.4531 3.5322 Å, 90.00 90.00 120.00°
Element x y z (fractional)
Cl (0.0000, 0.0000, 0.8335)
Tc (0.3333, 0.6667, 0.8330)
La (0.6667, 0.3333, 0.3336)

---

--- x ---
Computed, not measured: crystalline LaTcCl at its relaxed geometry at the GGA-PBE level of DFT.

Cell: 4.5344 4.5344 4.5344 Å, 60.00 60.00 60.00°
Element x y z (fractional)
Tc (0.7500, 0.7500, 0.7500)
La (0.5000, 0.5000, 0.5000)
Cl (0.0000, 0.0000, 0.0000)

---

Energy above the most stable structure, in meV/atom: w 0; x 344

---

--- w ---
Computed, not measured: crystalline LaTcCl at its relaxed geometry at the GGA-PBE level of DFT.

Cell: 6.4177 6.0318 3.6185 Å, 79.05 67.33 33.61°
Element x y z (fractional)
Tc (0.6830, 0.6830, 0.3170)
Cl (0.0128, 0.0128, 0.9872)
La (0.3041, 0.3041, 0.6959)

---

--- x ---
Computed, not measured: crystalline LaTcCl at its relaxed geometry at the GGA-PBE level of DFT.

Cell: 4.9789 4.9789 4.9789 Å, 60.00 60.00 60.00°
Last column: magnetic moment on the atom in μB.
Element x y z (fractional)
Cl (0.5000, 0.5000, 0.5000)  0.09
La (0.7500, 0.7500, 0.7500)  0.02
Tc (0.0000, 0.0000, 0.0000)  2.41

---

--- y ---
Computed, not measured: crystalline LaTcCl at its relaxed geometry at the GGA-PBE level of DFT.

Cell: 3.6244 3.6244 6.7631 Å, 90.00 90.00 120.00°
Last column: magnetic moment on the atom in μB.
Element x y z (fractional)
La (0.6667, 0.3333, 0.3341)  -0.12
Tc (0.3333, 0.6667, 0.6499)  1.96
Cl (0.0000, 0.0000, 0.0160)  0.03

---

Energy above the most stable structure, in meV/atom: w 0; x 485; y 111

---

--- w ---
Computed, not measured: crystalline La3TcCl at its relaxed geometry at the GGA-PBE level of DFT.

Cell: 3.9747 9.2076 9.2146 Å, 117.65 90.00 90.00°
Element x y z (fractional)
La (0.2500, 0.0328, 0.6925)
La (0.7500, 0.3742, 0.6671)
La (0.7500, 0.9672, 0.3075)
La (0.2500, 0.6258, 0.3329)
La (0.7500, 0.2332, 0.0706)
La (0.2500, 0.7668, 0.9294)
Tc (0.7500, 0.5802, 0.0252)
Tc (0.2500, 0.4198, 0.9748)
Cl (0.7500, 0.6929, 0.6276)
Cl (0.2500, 0.3071, 0.3724)

---

--- x ---
Computed, not measured: crystalline La3TcCl at its relaxed geometry at the GGA-PBE level of DFT.

Cell: 5.5479 5.5479 5.5479 Å, 90.00 90.00 90.00°
Last column: magnetic moment on the atom in μB.
Element x y z (fractional)
Tc (0.0000, 0.0000, 0.0000)  0.06
La (0.5000, 0.0000, 0.0000)  0.26
La (0.0000, 0.0000, 0.5000)  0.18
La (0.0000, 0.5000, 0.0000)  0.21
Cl (0.5000, 0.5000, 0.5000)  0.04

---

Energy above the most stable structure, in meV/atom: w 0; x 298

---

--- w ---
Computed, not measured: crystalline La4Te3Cl at its relaxed geometry at the GGA-PBE level of DFT.

Cell: 4.5197 7.7649 7.7649 Å, 109.81 90.00 90.00°
Element x y z (fractional)
La (0.5000, 0.7568, 0.2432)
La (0.0000, 0.7630, 0.7630)
La (0.0000, 0.2370, 0.2370)
La (0.5000, 0.2432, 0.7568)
Te (0.0000, 0.0000, 0.5000)
Te (0.0000, 0.5000, 0.0000)
Te (0.5000, 0.5000, 0.5000)
Cl (0.5000, 0.0000, 0.0000)

---

--- x ---
Computed, not measured: crystalline La4Te3Cl at its relaxed geometry at the GGA-PBE level of DFT.

Cell: 4.5068 4.5068 14.6858 Å, 81.17 81.17 60.00°
Element x y z (fractional)
La (0.3684, 0.3684, 0.8948)
La (0.1229, 0.1229, 0.6314)
La (0.6316, 0.6316, 0.1052)
La (0.8771, 0.8771, 0.3686)
Te (0.7452, 0.7452, 0.7644)
Te (0.2548, 0.2548, 0.2356)
Te (0.5000, 0.5000, 0.5000)
Cl (0.0000, 0.0000, 0.0000)

---

Energy above the most stable structure, in meV/atom: w 14; x 0